[1]
# ZnCr2Ir SCAN single point on PBEsol structure
# * final energy: -30.374 eV/atom
data_ZnCr2Ir
_cell_length_a 2.603
_cell_length_b 3.824
_cell_length_c 4.982
_cell_angle_alpha 90.00
_cell_angle_beta 90.00
_cell_angle_gamma 90.00
_symmetry_space_group_name_H-M 'P m m m'
_symmetry_Int_Tables_number 47
_symmetry_space_group_name_Hall '-P 2 2'
loop_
_atom_site_label
_atom_site_type_symbol
_atom_site_fract_x
_atom_site_fract_y
_atom_site_fract_z
Zn1 Zn 0.000 0.000 0.000
Cr1 Cr 0.500 0.500 0.242
Ir1 Ir 0.000 0.000 0.500

=====

[2]
# ZnCrIr2 SCAN single point on PBEsol structure
# * final energy: -43.803 eV/atom
data_ZnCrIr2
_cell_length_a 2.722
_cell_length_b 2.722
_cell_length_c 7.098
_cell_angle_alpha 90.00
_cell_angle_beta 90.00
_cell_angle_gamma 90.00
_symmetry_space_group_name_H-M 'P 4/m m m'
_symmetry_Int_Tables_number 123
_symmetry_space_group_name_Hall '-P 4 2'
loop_
_atom_site_label
_atom_site_type_symbol
_atom_site_fract_x
_atom_site_fract_y
_atom_site_fract_z
Zn1 Zn 0.000 0.000 0.000
Cr1 Cr 0.000 0.000 0.500
Ir1 Ir 0.500 0.500 0.264

=====

[3]
# ZnCr2Ir SCAN single point on PBEsol structure
# * final energy: -30.349 eV/atom
data_ZnCr2Ir
_cell_length_a 2.616
_cell_length_b 2.616
_cell_length_c 7.335
_cell_angle_alpha 90.00
_cell_angle_beta 90.00
_cell_angle_gamma 90.00
_symmetry_space_group_name_H-M 'P 4/m m m'
_symmetry_Int_Tables_number 123
_symmetry_space_group_name_Hall '-P 4 2'
loop_
_atom_site_label
_atom_site_type_symbol
_atom_site_fract_x
_atom_site_fract_y
_atom_site_fract_z
Zn1 Zn 0.000 0.000 0.000
Cr1 Cr 0.500 0.500 0.253
Ir1 Ir 0.000 0.000 0.500

=====

[4]
# ZnCrIr SCAN single point on PBEsol structure
# * excess energy over the best structure of this formula in the dataset: 0.90 eV/f.u.
data_ZnCrIr
_cell_length_a 5.698
_cell_length_b 5.698
_cell_length_c 5.698
_cell_angle_alpha 90.00
_cell_angle_beta 90.00
_cell_angle_gamma 90.00
_symmetry_space_group_name_H-M 'F -4 3 m'
_symmetry_Int_Tables_number 216
_symmetry_space_group_name_Hall 'F -4 2 3'
loop_
_atom_site_label
_atom_site_type_symbol
_atom_site_fract_x
_atom_site_fract_y
_atom_site_fract_z
Zn1 Zn 0.000 0.000 0.000
Cr1 Cr 0.000 0.000 0.500
Ir1 Ir 0.250 0.250 0.250

=====

[5]
# ZnCrIr2 SCAN single point on PBEsol structure
# * final energy: -43.805 eV/atom
data_ZnCrIr2
_cell_length_a 2.725
_cell_length_b 3.494
_cell_length_c 5.537
_cell_angle_alpha 90.00
_cell_angle_beta 90.00
_cell_angle_gamma 90.00
_symmetry_space_group_name_H-M 'P m m m'
_symmetry_Int_Tables_number 47
_symmetry_space_group_name_Hall '-P 2 2'
loop_
_atom_site_label
_atom_site_type_symbol
_atom_site_fract_x
_atom_site_fract_y
_atom_site_fract_z
Zn1 Zn 0.000 0.000 0.000
Cr1 Cr 0.000 0.000 0.500
Ir1 Ir 0.500 0.500 0.256

=====

[6]
# ZnCrIr2 SCAN single point on PBEsol structure
# * final energy: -43.716 eV/atom
data_ZnCrIr2
_cell_length_a 2.6886
_cell_length_b 2.6886
_cell_length_c 25.4303
_cell_angle_alpha 90.00
_cell_angle_beta 90.00
_cell_angle_gamma 120.00
_symmetry_space_group_name_H-M 'R -3 m'
_symmetry_Int_Tables_number 166
_symmetry_space_group_name_Hall '-R 3 2"'
loop_
_atom_site_label
_atom_site_type_symbol
_atom_site_fract_x
_atom_site_fract_y
_atom_site_fract_z
Zn1 Zn 0.0000 0.0000 0.0000
Cr1 Cr 0.0000 0.0000 0.5000
Ir1 Ir 0.0000 0.0000 0.2462

=====

[7]
# ZnCrIr SCAN single point on PBEsol structure
# * excess energy over the best structure of this formula in the dataset: 0.45 eV/f.u.
data_ZnCrIr
_cell_length_a 4.1187
_cell_length_b 4.1187
_cell_length_c 2.6365
_cell_angle_alpha 90.00
_cell_angle_beta 90.00
_cell_angle_gamma 120.00
_symmetry_space_group_name_H-M 'P 3 m 1'
_symmetry_Int_Tables_number 156
_symmetry_space_group_name_Hall 'P 3 -2"'
loop_
_atom_site_label
_atom_site_type_symbol
_atom_site_fract_x
_atom_site_fract_y
_atom_site_fract_z
Zn1 Zn 0.0000 0.0000 0.0000
Cr1 Cr 0.3333 0.6667 0.6757
Ir1 Ir 0.6667 0.3333 0.3155

=====

[8]
# Zn3CrIr SCAN single point on PBEsol structure
# * final energy: -25.599 eV/atom
data_Zn3CrIr
_cell_length_a 4.681
_cell_length_b 4.681
_cell_length_c 4.681
_cell_angle_alpha 90.00
_cell_angle_beta 90.00
_cell_angle_gamma 90.00
_symmetry_space_group_name_H-M 'P m -3 m'
_symmetry_Int_Tables_number 221
_symmetry_space_group_name_Hall '-P 4 2 3'
loop_
_atom_site_label
_atom_site_type_symbol
_atom_site_fract_x
_atom_site_fract_y
_atom_site_fract_z
Zn1 Zn 0.000 0.000 0.500
Cr1 Cr 0.500 0.500 0.500
Ir1 Ir 0.000 0.000 0.000

=====

[9]
# ZnCrIr2 SCAN single point on PBEsol structure
# * final energy: -43.752 eV/atom
data_ZnCrIr2
_cell_length_a 8.597
_cell_length_b 2.719
_cell_length_c 4.679
_cell_angle_alpha 90.00
_cell_angle_beta 100.81
_cell_angle_gamma 90.00
_symmetry_space_group_name_H-M 'C 1 2/m 1'
_symmetry_Int_Tables_number 12
_symmetry_space_group_name_Hall '-C 2y'
loop_
_atom_site_label
_atom_site_type_symbol
_atom_site_fract_x
_atom_site_fract_y
_atom_site_fract_z
Zn1 Zn 0.000 0.000 0.000
Cr1 Cr 0.000 0.500 0.500
Ir1 Ir 0.245 0.000 0.746

=====

[10]
# ZnCrIr SCAN single point on PBEsol structure
# * excess energy over the best structure of this formula in the dataset: 0.00 eV/f.u.
data_ZnCrIr
_cell_length_a 2.728
_cell_length_b 2.728
_cell_length_c 10.433
_cell_angle_alpha 90.00
_cell_angle_beta 90.00
_cell_angle_gamma 90.00
_symmetry_space_group_name_H-M 'I 4 m m'
_symmetry_Int_Tables_number 107
_symmetry_space_group_name_Hall 'I 4 -2'
loop_
_atom_site_label
_atom_site_type_symbol
_atom_site_fract_x
_atom_site_fract_y
_atom_site_fract_z
Zn1 Zn 0.000 0.000 0.000
Cr1 Cr 0.000 0.000 0.669
Ir1 Ir 0.000 0.000 0.321

=====

[11]
# Zr2CrIr SCAN single point on PBEsol structure
# * excess energy over the best structure of this formula in the dataset: 0.58 eV/f.u.
data_Zr2CrIr
_cell_length_a 3.047
_cell_length_b 4.308
_cell_length_c 5.383
_cell_angle_alpha 90.00
_cell_angle_beta 90.00
_cell_angle_gamma 90.00
_symmetry_space_group_name_H-M 'P m m 2'
_symmetry_Int_Tables_number 25
_symmetry_space_group_name_Hall 'P 2 -2'
loop_
_atom_site_label
_atom_site_type_symbol
_atom_site_fract_x
_atom_site_fract_y
_atom_site_fract_z
Zr1 Zr 0.000 0.000 0.000
Zr2 Zr 0.500 0.500 0.344
Cr1 Cr 0.000 0.000 0.502
Ir1 Ir 0.500 0.500 0.834

=====

[12]
# ZrCrIr SCAN single point on PBEsol structure
# * excess energy over the best structure of this formula in the dataset: 1.26 eV/f.u.
data_ZrCrIr
_cell_length_a 6.100
_cell_length_b 6.100
_cell_length_c 6.100
_cell_angle_alpha 90.00
_cell_angle_beta 90.00
_cell_angle_gamma 90.00
_symmetry_space_group_name_H-M 'F -4 3 m'
_symmetry_Int_Tables_number 216
_symmetry_space_group_name_Hall 'F -4 2 3'
loop_
_atom_site_label
_atom_site_type_symbol
_atom_site_fract_x
_atom_site_fract_y
_atom_site_fract_z
Zr1 Zr 0.000 0.000 0.000
Cr1 Cr 0.250 0.250 0.750
Ir1 Ir 0.250 0.250 0.250

=====

[13]
# Zr2CrIr SCAN single point on PBEsol structure
# * excess energy over the best structure of this formula in the dataset: 0.00 eV/f.u.
data_Zr2CrIr
_cell_length_a 3.814
_cell_length_b 3.814
_cell_length_c 9.453
_cell_angle_alpha 90.00
_cell_angle_beta 90.00
_cell_angle_gamma 90.00
_symmetry_space_group_name_H-M 'I -4 m 2'
_symmetry_Int_Tables_number 119
_symmetry_space_group_name_Hall 'I -4 -2'
loop_
_atom_site_label
_atom_site_type_symbol
_atom_site_fract_x
_atom_site_fract_y
_atom_site_fract_z
Zr1 Zr 0.000 0.000 0.000
Zr2 Zr 0.000 0.500 0.250
Cr1 Cr 0.000 0.000 0.500
Ir1 Ir 0.000 0.500 0.750

=====

[14]
# ZrCr2Ir SCAN single point on PBEsol structure
# * final energy: -34.437 eV/atom
data_ZrCr2Ir
_cell_length_a 2.8172
_cell_length_b 2.8172
_cell_length_c 25.2564
_cell_angle_alpha 90.00
_cell_angle_beta 90.00
_cell_angle_gamma 120.00
_symmetry_space_group_name_H-M 'R 3 m'
_symmetry_Int_Tables_number 160
_symmetry_space_group_name_Hall 'R 3 -2"'
loop_
_atom_site_label
_atom_site_type_symbol
_atom_site_fract_x
_atom_site_fract_y
_atom_site_fract_z
Zr1 Zr 0.0000 0.0000 0.0000
Cr1 Cr 0.0000 0.0000 0.4912
Cr2 Cr 0.0000 0.0000 0.7621
Ir1 Ir 0.0000 0.0000 0.2385